Entry from Alexandria: a relaxed NaCrP2O8 crystal (GGA+U).

VASP energy (eV per cell): -81.54
Fermi-level density of states (states/eV/atom): 0.534

a = 8.1852 Å, b = 8.1852 Å, c = 8.1852 Å
α = 34.20°, β = 34.20°, γ = 34.20°
Positions (direct):
Na: 0.0000 0.0000 0.0000
Cr: 0.5000 0.5000 0.5000
P: 0.2383 0.2383 0.2383
P: 0.7617 0.7617 0.7617
O: 0.1045 0.4989 0.7502
O: 0.2498 0.8955 0.5011
O: 0.3041 0.3041 0.3041
O: 0.4989 0.7502 0.1045
O: 0.5011 0.2498 0.8955
O: 0.6959 0.6959 0.6959
O: 0.7502 0.1045 0.4989
O: 0.8955 0.5011 0.2498